Entry P
Material: ZnMo2S2
Method: DFT, PBE
State: relaxed

```
ZnMo2S2
1.0
-1.978 1.978 5.369
1.978 -1.978 5.369
1.978 1.978 -5.369
Zn Mo S
1 2 2
Cartesian
0.000 0.000 0.000
0.000 0.000 4.058
0.000 0.000 6.680
1.978 0.000 2.684
0.000 1.978 2.684
```

Entry Q
Material: ZnMo2S2
Method: DFT, PBE
State: relaxed

```
ZnMo2S2
1.0
6.992 0.000 0.000
0.000 6.992 0.000
0.000 0.000 3.054
Zn Mo S
2 4 4
Cartesian
0.000 0.000 0.000
3.496 3.496 0.000
1.056 2.440 0.000
2.440 5.936 0.000
4.552 1.056 0.000
5.936 4.552 0.000
1.000 4.496 1.527
2.497 1.000 1.527
4.496 5.993 1.527
5.993 2.497 1.527
```

Energies, relative to the best one, in kJ/mol of atoms: entry P 7.7; entry Q 0.0.